## KTc3W (PBE)

Data for a relaxed KTc3W crystal.

Cell and atoms, written as POSCAR:
```
KTc3W
1.0
4.8574 0.0000 0.0000
0.0000 4.8574 0.0000
0.0000 0.0000 4.8574
Tc K W
3 1 1
direct
0.0000 0.0000 0.5000
0.0000 0.5000 0.0000
0.5000 0.0000 0.0000
0.5000 0.5000 0.5000
0.0000 0.0000 0.0000
```

Computed properties:
The value obtained for the volume is 22.9 A^3/atom. The magnetization comes out at 3.368 μB per cell. The energy above the lowest structure with this stoichiometry comes out at 0.0 meV/atom. As for the formation energy: 1680 meV per atom. The value obtained for the total energy is -36.7 eV for the cell shown.

---

## KTc2W (PBE)

Data for a relaxed KTc2W crystal.

Cell and atoms, written as POSCAR:
```
KTc2W
1.0
6.1235 -0.0003 0.0030
3.2391 5.1967 -0.0030
-3.8247 -4.1415 2.3910
K Tc W
1 2 1
direct
0.2458 0.7458 0.5000
0.7546 0.2546 0.5000
0.9619 0.9619 0.0000
0.5377 0.5377 0.0000
```

Computed properties:
The value obtained for the volume is 19.0 A^3/atom. The magnetization comes out at 0.228 μB per cell. The energy above the lowest structure with this stoichiometry comes out at 567.7 meV/atom. As for the formation energy: 1281 meV per atom. The value obtained for the total energy is -29.7 eV for the cell shown.

---

## KTc2W (PBE)

Data for a relaxed KTc2W crystal.

Cell and atoms, written as POSCAR:
```
KTc2W
1.0
-1.3975 -0.1760 -2.4157
-3.1152 -3.4398 2.0528
-2.9784 3.5704 1.4629
K Tc W
1 2 1
direct
0.0000 0.5000 0.5000
0.0000 0.0000 0.0000
0.5000 0.5000 0.0000
0.5000 0.0000 0.5000
```

Computed properties:
The value obtained for the volume is 17.3 A^3/atom. The magnetization comes out at 0.000 μB per cell. The energy above the lowest structure with this stoichiometry comes out at 973.6 meV/atom. As for the formation energy: 1687 meV per atom. The value obtained for the total energy is -28.0 eV for the cell shown.

---

## KTc2W (PBE)

Data for a relaxed KTc2W crystal.

Cell and atoms, written as POSCAR:
```
KTc2W
1.0
4.2136 0.0000 0.0000
0.0000 2.7128 -0.1053
0.0000 0.9217 7.6098
K W Tc
1 1 2
direct
0.5000 0.7500 0.7500
0.5000 0.2500 0.2500
0.0000 0.5619 0.4061
0.0000 0.9381 0.0939
```

Computed properties:
The value obtained for the volume is 21.8 A^3/atom. The magnetization comes out at 0.000 μB per cell. The energy above the lowest structure with this stoichiometry comes out at 155.1 meV/atom. As for the formation energy: 869 meV per atom. The value obtained for the total energy is -31.3 eV for the cell shown.

---

## KTc2W (PBE)

Data for a relaxed KTc2W crystal.

Cell and atoms, written as POSCAR:
```
KTc2W
1.0
5.7701 0.0027 0.0043
2.4564 5.2212 -0.0043
-3.1910 -4.0643 2.5678
W Tc K
1 2 1
direct
0.7500 0.2500 0.5000
0.9624 0.9624 0.0000
0.5376 0.5376 0.0000
0.2500 0.7500 0.5000
```

Computed properties:
The value obtained for the volume is 19.3 A^3/atom. The magnetization comes out at 0.002 μB per cell. The energy above the lowest structure with this stoichiometry comes out at 603.6 meV/atom. As for the formation energy: 1317 meV per atom. The value obtained for the total energy is -29.5 eV for the cell shown.

---

## K4TcW (PBE)

Data for a relaxed K4TcW crystal.

Cell and atoms, written as POSCAR:
```
K4TcW
1.0
4.6773 0.5438 5.0087
1.3093 6.1268 2.8299
-2.0020 1.3076 6.4453
K Tc W
4 1 1
direct
0.3747 0.8758 0.3747
0.3747 0.3747 0.8758
0.8758 0.3747 0.3747
0.3747 0.3747 0.3747
0.7500 0.7500 0.7500
0.0000 0.0000 0.0000
```

Computed properties:
The value obtained for the volume is 38.3 A^3/atom. The magnetization comes out at 8.374 μB per cell. As for the formation energy: 2000 meV per atom. The value obtained for the total energy is -15.7 eV for the cell shown.

---

## KTcW (PBE)

Data for a relaxed KTcW crystal.

Cell and atoms, written as POSCAR:
```
KTcW
1.0
4.9670 0.0000 0.0000
-2.4835 4.3016 0.0000
0.0000 0.0000 2.6250
Tc W K
1 1 1
direct
0.6667 0.3333 0.3806
0.3333 0.6667 0.6144
0.0000 0.0000 0.0050
```

Computed properties:
The value obtained for the volume is 18.7 A^3/atom. The magnetization comes out at 0.000 μB per cell. The energy above the lowest structure with this stoichiometry comes out at 1059.4 meV/atom. As for the formation energy: 1595 meV per atom. The value obtained for the total energy is -19.6 eV for the cell shown.

---

## K2TcW (PBE)

Data for a relaxed K2TcW crystal.

Cell and atoms, written as POSCAR:
```
K2TcW
1.0
-2.0873 -10.9846 6.2242
11.0356 -4.6520 -4.5092
5.5639 -6.9953 2.6754
Tc K W
2 4 2
direct
0.5000 0.5000 0.0000
0.2500 0.7500 0.5000
0.3750 0.5470 0.7500
0.4530 0.1250 0.2500
0.2970 0.6250 0.2500
0.8750 0.7030 0.7500
0.7500 0.2500 0.5000
0.0000 0.0000 0.0000
```

Computed properties:
The value obtained for the volume is 46.5 A^3/atom. The magnetization comes out at 0.587 μB per cell. The energy above the lowest structure with this stoichiometry comes out at 784.4 meV/atom. As for the formation energy: 1721 meV per atom. The value obtained for the total energy is -37.3 eV for the cell shown.

---

## K2TcW (PBE)

Data for a relaxed K2TcW crystal.

Cell and atoms, written as POSCAR:
```
K2TcW
1.0
3.0471 0.0000 0.0000
0.0000 4.5637 0.0000
0.0000 0.0000 6.1320
Tc K W
1 2 1
direct
0.5000 0.0000 0.5000
0.5000 0.5000 0.0000
0.0000 0.0000 0.0000
0.0000 0.5000 0.5000
```

Computed properties:
The value obtained for the volume is 21.3 A^3/atom. The magnetization comes out at 0.000 μB per cell. The energy above the lowest structure with this stoichiometry comes out at 514.1 meV/atom. As for the formation energy: 1450 meV per atom. The value obtained for the total energy is -19.7 eV for the cell shown.

---

## KTc2W (PBE)

Data for a relaxed KTc2W crystal.

Cell and atoms, written as POSCAR:
```
KTc2W
1.0
-0.9076 0.2622 2.6267
-1.4215 -2.3890 -0.2527
7.9277 -5.0605 3.2444
W Tc K
1 2 1
direct
0.0000 0.0000 0.4382
0.0000 0.0000 0.0642
0.5000 0.5000 0.2406
0.5000 0.5000 0.7570
```

Computed properties:
The value obtained for the volume is 19.4 A^3/atom. The magnetization comes out at 0.000 μB per cell. The energy above the lowest structure with this stoichiometry comes out at 154.9 meV/atom. As for the formation energy: 868 meV per atom. The value obtained for the total energy is -31.3 eV for the cell shown.

---

## K2TcW (PBE)

Data for a relaxed K2TcW crystal.

Cell and atoms, written as POSCAR:
```
K2TcW
1.0
-1.0645 -6.6098 10.4128
1.7703 -6.6953 10.2610
0.4813 -4.5010 11.5221
W K Tc
1 2 1
direct
0.7500 0.7500 0.7500
0.9972 0.9972 0.9972
0.5028 0.5028 0.5028
0.2500 0.2500 0.2500
```

Computed properties:
The value obtained for the volume is 21.4 A^3/atom. The magnetization comes out at 0.967 μB per cell. The energy above the lowest structure with this stoichiometry comes out at 579.6 meV/atom. As for the formation energy: 1516 meV per atom. The value obtained for the total energy is -19.5 eV for the cell shown.

---

## K2TcW (PBE)

Data for a relaxed K2TcW crystal.

Cell and atoms, written as POSCAR:
```
K2TcW
1.0
-4.3411 -3.2146 3.7906
6.5625 0.6002 0.3480
-0.2822 2.1938 1.5373
K W Tc
2 1 1
direct
0.5000 0.5000 0.0000
0.0000 0.0000 0.0000
0.0000 0.5000 0.5000
0.5000 0.0000 0.5000
```

Computed properties:
The value obtained for the volume is 21.8 A^3/atom. The magnetization comes out at 0.004 μB per cell. The energy above the lowest structure with this stoichiometry comes out at 587.3 meV/atom. As for the formation energy: 1524 meV per atom. The value obtained for the total energy is -19.4 eV for the cell shown.

---

## K2TcW (PBE)

Data for a relaxed K2TcW crystal.

Cell and atoms, written as POSCAR:
```
K2TcW
1.0
2.6947 0.0000 0.0000
0.0000 2.6947 0.0000
0.0000 0.0000 12.0673
W K Tc
1 2 1
direct
0.5000 0.5000 0.7500
0.0000 0.0000 0.0096
0.0000 0.0000 0.4904
0.5000 0.5000 0.2500
```

Computed properties:
The value obtained for the volume is 21.9 A^3/atom. The magnetization comes out at 0.645 μB per cell. The energy above the lowest structure with this stoichiometry comes out at 609.4 meV/atom. As for the formation energy: 1546 meV per atom. The value obtained for the total energy is -19.3 eV for the cell shown.

---

## KTc2W (PBE)

Data for a relaxed KTc2W crystal.

Cell and atoms, written as POSCAR:
```
KTc2W
1.0
-0.0985 -1.7440 2.1712
0.3473 -1.3858 -2.3925
10.0981 0.7288 1.0436
Tc K W
2 1 1
direct
0.0000 0.0000 0.0445
0.0000 0.0000 0.4555
0.5000 0.5000 0.7500
0.5000 0.5000 0.2500
```

Computed properties:
The value obtained for the volume is 18.4 A^3/atom. The magnetization comes out at 0.000 μB per cell. The energy above the lowest structure with this stoichiometry comes out at 0.0 meV/atom. As for the formation energy: 713 meV per atom. The value obtained for the total energy is -31.9 eV for the cell shown.

---

## K2TcW (PBE)

Data for a relaxed K2TcW crystal.

Cell and atoms, written as POSCAR:
```
K2TcW
1.0
-4.2982 2.9843 -3.1922
0.3597 -1.7379 -2.1091
-3.4495 -3.5228 1.3513
K Tc W
2 1 1
direct
0.0000 0.0078 0.0027
0.0000 0.4922 0.4973
0.5000 0.2500 0.2500
0.5000 0.7500 0.7500
```

Computed properties:
The value obtained for the volume is 21.4 A^3/atom. The magnetization comes out at 0.000 μB per cell. The energy above the lowest structure with this stoichiometry comes out at 523.5 meV/atom. As for the formation energy: 1460 meV per atom. The value obtained for the total energy is -19.7 eV for the cell shown.